Entry 1:
A relaxed RhW3Au crystal. Source: Alexandria, functional PBE.

Cell: 4.6842 4.6842 4.6842 Å, 90.00 90.00 90.00°
Sites, in units of the cell vectors:
Rh1 0.0000 0.0000 0.0000
W1 0.0000 0.0000 0.5000
W2 0.0000 0.5000 0.0000
W3 0.5000 0.0000 0.0000
Au1 0.5000 0.5000 0.5000

Values from the calculation:
Total magnetization = 0.000 μB per atom
Space group = No. 221
DFT formation energy = 1.947 eV per atom
Energy relative to the lowest polymorph listed for this composition = 0.00 kcal/mol of atoms


Entry 2:
A relaxed RhWAu crystal. Source: Alexandria, functional PBE.

Cell: 4.4169 4.4169 5.8616 Å, 92.55 92.55 83.76°
Sites, in units of the cell vectors:
Rh1 0.2225 0.2225 0.2150
Rh2 0.7775 0.7775 0.7850
W1 0.2764 0.7236 0.0000
W2 0.7236 0.2764 0.0000
Au1 0.2564 0.7436 0.5000
Au2 0.7436 0.2564 0.5000

Values from the calculation:
Total magnetization = 0.000 μB per atom
Space group = No. 12
DFT formation energy = 0.421 eV per atom
Energy relative to the lowest polymorph listed for this composition = 8.29 kcal/mol of atoms


Entry 3:
A relaxed YRhWAu2 crystal. Source: Alexandria, functional PBE.

Cell: 5.0731 5.0731 4.8419 Å, 90.00 90.00 90.00°
Sites, in units of the cell vectors:
Y1 0.0000 0.0000 0.0000
Rh1 0.0000 0.0000 0.5000
W1 0.5000 0.5000 0.0000
Au1 0.0000 0.5000 0.5000
Au2 0.5000 0.0000 0.5000

Values from the calculation:
Total magnetization = 0.830 μB per atom
Space group = No. 123
DFT formation energy = 1.147 eV per atom


Entry 4:
A relaxed Y3RhAu crystal. Source: Alexandria, functional PBE.

Cell: 5.2981 5.2981 5.2981 Å, 90.00 90.00 90.00°
Sites, in units of the cell vectors:
Y1 0.0000 0.0000 0.5000
Y2 0.0000 0.5000 0.0000
Y3 0.5000 0.0000 0.0000
Rh1 0.0000 0.0000 0.0000
Au1 0.5000 0.5000 0.5000

Values from the calculation:
Total magnetization = 0.000 μB per atom
Space group = No. 221
DFT formation energy = -0.310 eV per atom
Energy relative to the lowest polymorph listed for this composition = 9.37 kcal/mol of atoms


Entry 5:
A relaxed YRhAu2 crystal. Source: Alexandria, functional PBE.

Cell: 4.7917 4.7917 4.7917 Å, 60.00 60.00 60.00°
Sites, in units of the cell vectors:
Y1 0.0000 0.0000 0.0000
Rh1 0.5000 0.5000 0.5000
Au1 0.2500 0.2500 0.2500
Au2 0.7500 0.7500 0.7500

Values from the calculation:
Total magnetization = 0.000 μB per atom
Space group = No. 225
DFT formation energy = -0.485 eV per atom


Entry 6:
A relaxed Y4Rh2Au crystal. Source: Alexandria, functional PBE.

Cell: 8.4565 8.4565 8.4565 Å, 33.78 33.78 33.78°
Sites, in units of the cell vectors:
Y1 0.1211 0.1211 0.1211
Y2 0.3721 0.3721 0.3721
Y3 0.6279 0.6279 0.6279
Y4 0.8789 0.8789 0.8789
Rh1 0.2496 0.2496 0.2496
Rh2 0.7504 0.7504 0.7504
Au1 0.5000 0.5000 0.5000

Values from the calculation:
Total magnetization = 0.000 μB per atom
Space group = No. 166
DFT formation energy = -0.716 eV per atom


Entry 7:
A relaxed Y4RhAu crystal. Source: Alexandria, functional PBE.

Cell: 5.9965 5.9965 5.9965 Å, 60.00 60.00 60.00°
Sites, in units of the cell vectors:
Y1 0.3757 0.3757 0.3757
Y2 0.3757 0.3757 0.8730
Y3 0.3757 0.8730 0.3757
Y4 0.8730 0.3757 0.3757
Rh1 0.7500 0.7500 0.7500
Au1 0.0000 0.0000 0.0000

Values from the calculation:
Total magnetization = 0.000 μB per atom
Space group = No. 216
DFT formation energy = 0.476 eV per atom
Energy relative to the lowest polymorph listed for this composition = 24.58 kcal/mol of atoms


Entry 8:
A relaxed Y5Rh2Au crystal. Source: Alexandria, functional PBE.

Cell: 8.6577 8.6577 8.6577 Å, 127.66 127.66 77.18°
Sites, in units of the cell vectors:
Y1 0.0000 0.0000 0.0000
Y2 0.0242 0.5242 0.8271
Y3 0.1970 0.0242 0.5000
Y4 0.3030 0.8030 0.8271
Y5 0.4758 0.3030 0.5000
Y6 0.5000 0.5000 0.0000
Y7 0.5242 0.6970 0.5000
Y8 0.6970 0.1970 0.1729
Y9 0.8030 0.9758 0.5000
Y10 0.9758 0.4758 0.1729
Rh1 0.1365 0.3635 0.5000
Rh2 0.3635 0.8635 0.2271
Rh3 0.6365 0.1365 0.7729
Rh4 0.8635 0.6365 0.5000
Au1 0.2500 0.2500 0.0000
Au2 0.7500 0.7500 0.0000

Values from the calculation:
Total magnetization = 0.000 μB per atom
Space group = No. 140
DFT formation energy = -0.713 eV per atom


Entry 9:
A relaxed Y8RhAu2 crystal. Source: Alexandria, functional PBE.

Cell: 8.1775 8.1775 5.9790 Å, 102.75 102.75 119.96°
Sites, in units of the cell vectors:
Y1 0.0000 0.0000 0.0000
Y2 0.0050 0.2434 0.5789
Y3 0.1691 0.5551 0.2059
Y4 0.2434 0.0050 0.5789
Y5 0.4643 0.7073 0.8474
Y6 0.5551 0.1691 0.2059
Y7 0.7073 0.4643 0.8474
Y8 0.7076 0.7076 0.4043
Rh1 0.3544 0.3544 0.0326
Au1 0.0425 0.6334 0.6760
Au2 0.6334 0.0425 0.6760

Values from the calculation:
Total magnetization = 0.000 μB per atom
Space group = No. 8
DFT formation energy = -0.365 eV per atom
Energy relative to the lowest polymorph listed for this composition = 2.87 kcal/mol of atoms


Entry 10:
A relaxed Y6Rh5Au crystal. Source: Alexandria, functional PBE.

Cell: 7.7202 7.7202 6.9888 Å, 90.00 90.00 143.12°
Sites, in units of the cell vectors:
Y1 0.0000 0.0000 0.2435
Y2 0.0000 0.0000 0.7565
Y3 0.3302 0.6698 0.2482
Y4 0.3302 0.6698 0.7518
Y5 0.6698 0.3302 0.2482
Y6 0.6698 0.3302 0.7518
Rh1 0.1663 0.8337 0.0000
Rh2 0.1671 0.8329 0.5000
Rh3 0.5000 0.5000 0.0000
Rh4 0.8329 0.1671 0.5000
Rh5 0.8337 0.1663 0.0000
Au1 0.5000 0.5000 0.5000

Values from the calculation:
Total magnetization = 0.000 μB per atom
Space group = No. 65
DFT formation energy = -0.836 eV per atom


Entry 11:
A relaxed Y2Rh3Au crystal. Source: Alexandria, functional PBE.

Cell: 5.3980 5.3980 5.3980 Å, 60.45 60.45 60.45°
Sites, in units of the cell vectors:
Y1 0.1240 0.1240 0.1240
Y2 0.8760 0.8760 0.8760
Rh1 0.0000 0.5000 0.5000
Rh2 0.5000 0.0000 0.5000
Rh3 0.5000 0.5000 0.0000
Au1 0.5000 0.5000 0.5000

Values from the calculation:
Total magnetization = 0.000 μB per atom
Space group = No. 166
DFT formation energy = -0.685 eV per atom


Entry 12:
A relaxed YRhAu2 crystal. Source: Alexandria, functional PBE.

Cell: 4.7644 4.7644 4.7644 Å, 60.00 60.00 60.00°
Sites, in units of the cell vectors:
Y1 0.0000 0.0000 0.0000
Rh1 0.2500 0.2500 0.2500
Au1 0.5000 0.5000 0.5000
Au2 0.7500 0.7500 0.7500

Values from the calculation:
Total magnetization = 0.000 μB per atom
Space group = No. 216
DFT formation energy = -0.505 eV per atom


Entry 13:
A relaxed Y4RhAu crystal. Source: Alexandria, functional PBE.

Cell: 8.2986 4.8228 15.7037 Å, 90.00 90.00 90.00°
Sites, in units of the cell vectors:
Y1 0.0335 0.2500 0.0784
Y2 0.0843 0.2500 0.7772
Y3 0.1307 0.2500 0.3365
Y4 0.1492 0.2500 0.5651
Y5 0.3508 0.7500 0.0651
Y6 0.3693 0.7500 0.8365
Y7 0.4157 0.7500 0.2772
Y8 0.4665 0.7500 0.5784
Y9 0.5335 0.2500 0.4216
Y10 0.5843 0.2500 0.7228
Y11 0.6307 0.2500 0.1635
Y12 0.6492 0.2500 0.9349
Y13 0.8508 0.7500 0.4349
Y14 0.8693 0.7500 0.6635
Y15 0.9157 0.7500 0.2228
Y16 0.9665 0.7500 0.9216
Rh1 0.1927 0.7500 0.6849
Rh2 0.3073 0.2500 0.1849
Rh3 0.6927 0.7500 0.8151
Rh4 0.8073 0.2500 0.3151
Au1 0.2315 0.7500 0.4396
Au2 0.2685 0.2500 0.9396
Au3 0.7315 0.7500 0.0604
Au4 0.7685 0.2500 0.5604

Values from the calculation:
Total magnetization = 0.000 μB per atom
Space group = No. 62
DFT formation energy = -0.589 eV per atom
Energy relative to the lowest polymorph listed for this composition = 0.00 kcal/mol of atoms


Number 1: raw total energy -39.8 eV for the cell shown. Number 2: raw total energy -44.6 eV for the cell shown. Number 3: raw total energy -27.6 eV for the cell shown. Number 4: raw total energy -31.6 eV for the cell shown. Number 5: raw total energy -22.3 eV for the cell shown. Number 6: raw total energy -48.9 eV for the cell shown. Number 7: raw total energy -33.6 eV for the cell shown. Number 8: raw total energy -112.0 eV for the cell shown. Number 9: raw total energy -69.6 eV for the cell shown. Number 10: raw total energy -88.9 eV for the cell shown. Number 11: raw total energy -42.4 eV for the cell shown. Number 12: raw total energy -22.4 eV for the cell shown. Number 13: raw total energy -160.1 eV for the cell shown.